(1)
FeOs2NCl after structural relaxation, computed with PBE.

a = 4.030 Å, b = 4.030 Å, c = 4.325 Å
α = 90.00°, β = 90.00°, γ = 90.00°
Space group P4/mmm (No. 123)
One atom of each set of equivalent atoms:
Fe  0.000  0.000  0.000
Os  0.000  0.500  0.500
N  0.000  0.000  0.500
Cl  0.500  0.500  0.000

DFT total energy in eV/atom: -7.0513
Magnetization in μB/cell: 4.8
Theoretical density in Mg/m³: 11.5
Raw formation energy in meV per atom: 1168

=====

(2)
FeP2NCl after structural relaxation, computed with PBE.

a = 3.904 Å, b = 3.904 Å, c = 4.297 Å
α = 90.00°, β = 90.00°, γ = 90.00°
Space group P4/mmm (No. 123)
One atom of each set of equivalent atoms:
Fe  0.000  0.000  0.000
P  0.000  0.500  0.500
N  0.500  0.500  0.500
Cl  0.500  0.500  0.000

DFT total energy in eV/atom: -4.7013
Magnetization in μB/cell: 2.8
Theoretical density in Mg/m³: 4.2
Distance to the lowest polymorph of the same formula in meV per atom: 0
Raw formation energy in meV per atom: 1190

=====

(3)
FeP2NCl after structural relaxation, computed with PBE.

a = 4.236 Å, b = 4.236 Å, c = 4.551 Å
α = 90.00°, β = 90.00°, γ = 90.00°
Space group P4/mmm (No. 123)
One atom of each set of equivalent atoms:
Fe  0.000  0.000  0.000
P  0.000  0.500  0.000
N  0.500  0.500  0.500
Cl  0.000  0.000  0.500

DFT total energy in eV/atom: -4.4455
Magnetization in μB/cell: 0.0
Theoretical density in Mg/m³: 3.4
Distance to the lowest polymorph of the same formula in meV per atom: 256
Raw formation energy in meV per atom: 1445